[1]
11
Lattice="-2.2590 3.1610 -5.2680 -4.2632 1.5139 -1.7144 -0.3525 7.2311 0.4234" Properties=species:S:1:pos:R:3 comment="Fe4Ni5Ir2 GGA-PBE relaxed" vol_a3_per_cell=137.8 magmom_total_mub_per_fu=14.840 dft_energy_ev_per_atom=-7.08 formation_energy_mev_per_atom=234 pbc="T T T"
Fe -4.9594 8.0024 -4.5546
Fe -1.9154 3.9036 -2.0044
Fe -4.0711 4.6681 -2.8695
Fe -2.8037 7.2379 -3.6895
Ni -1.1295 1.5805 -2.6340
Ni -2.1316 0.7569 -0.8572
Ni -3.2611 2.3374 -3.4912
Ni -2.7556 6.0142 -1.5018
Ni -4.1192 5.8918 -5.0572
Ir -2.0960 4.3467 -4.6264
Ir -0.5156 6.0455 -0.2181

---

[2]
4
Lattice="-1.7815 -3.1571 0.9594 4.1028 -3.0099 -2.2863 -0.1771 -0.1119 6.6353" Properties=species:S:1:pos:R:3 comment="TbDyHoSc GGA-PBE relaxed" vol_a3_per_cell=119.8 magmom_total_mub_per_fu=0.001 dft_energy_ev_per_atom=-4.93 formation_energy_mev_per_atom=104 pbc="T T T"
Tb -0.2210 -1.7779 1.9441
Dy 0.3782 -3.3909 5.1429
Ho 3.0999 -3.3149 3.1212
Sc 0.9424 -4.8703 1.2972

---

[3]
8
Lattice="6.5607 0.0000 0.0000 0.0000 6.5607 0.0000 3.2804 3.2804 2.2556" Properties=species:S:1:pos:R:3 comment="LiBeV2 GGA-PBE relaxed" vol_a3_per_cell=97.1 magmom_total_mub_per_fu=0.000 dft_energy_ev_per_atom=-5.40 formation_energy_mev_per_atom=571 pbc="T T T"
Be 0.0000 0.0000 0.0000
Be 6.5607 3.2804 1.1278
V 4.9729 1.6402 0.5639
V 1.5878 4.9206 0.5639
V 4.9206 4.8682 1.6917
V 8.2009 8.2533 1.6917
Li 3.2804 3.2804 0.0000
Li 3.2804 6.5607 1.1278